Record 1
Compound: InOs
Source: Alexandria via LeMat-Bulk
Functional: PBE-GGA
Structure: optimized geometry

POSCAR file:
```
InOs
1.0
4.637 0.000 0.000
-2.319 4.016 0.000
0.000 0.000 5.344
In Os
2 2
Cartesian
0.000 2.677 1.336 In
2.319 1.339 4.008 In
0.000 2.677 4.008 Os
2.319 1.339 1.336 Os
```

Values from the calculation:
E_form = 1.6003 eV per atom
Crystal system = hexagonal
V = 24.88 Å³ per atom
DOS(E_F) = 2.292 states/eV/f.u.

Record 2
Compound: In3Os
Source: Alexandria via LeMat-Bulk
Functional: PBE-GGA
Structure: optimized geometry

POSCAR file:
```
In3Os
1.0
5.202 0.000 0.000
0.000 5.202 0.000
0.000 0.000 5.202
In Os
3 1
Cartesian
0.000 0.000 2.601 In
0.000 2.601 0.000 In
2.601 0.000 0.000 In
0.000 0.000 0.000 Os
```

Values from the calculation:
E_form = 0.2137 eV per atom
Crystal system = cubic
V = 35.19 Å³ per atom
DOS(E_F) = 2.317 states/eV/f.u.